(1)
Entry from the Alexandria database: crystalline Th4CrGe8 at its relaxed geometry (PBE).

Unit cell a=4.130 b=4.220 c=16.863 alpha=90.00 beta=90.00 gamma=90.00
Sites, in units of the cell vectors:
Th1 0.000 0.000 0.000
Th2 0.000 0.500 0.493
Th3 0.500 0.000 0.784
Th4 0.500 0.500 0.281
Cr1 0.000 0.500 0.705
Ge1 0.000 0.000 0.337
Ge2 0.000 0.000 0.628
Ge3 0.000 0.500 0.141
Ge4 0.000 0.500 0.850
Ge5 0.500 0.000 0.141
Ge6 0.500 0.000 0.436
Ge7 0.500 0.500 0.626
Ge8 0.500 0.500 0.945

(2)
Entry from the Alexandria database: crystalline Na2Li2Sc at its relaxed geometry (PBE).

Values from the calculation:
**Polymorph energy (0 for the lowest one)**: 0.00 eV/f.u.

Unit cell a=8.879 b=8.879 c=3.233 alpha=90.00 beta=90.00 gamma=90.00
Sites, in units of the cell vectors:
Na1 0.126 0.374 0.000
Na2 0.374 0.874 0.000
Na3 0.626 0.126 0.000
Na4 0.874 0.626 0.000
Li1 0.181 0.681 0.500
Li2 0.319 0.181 0.500
Li3 0.681 0.819 0.500
Li4 0.819 0.319 0.500
Sc1 0.000 0.000 0.000
Sc2 0.500 0.500 0.000

(3)
Entry from the Alexandria database: crystalline Mg4Sc5Rh at its relaxed geometry (PBE).

Unit cell a=3.206 b=3.206 c=21.556 alpha=90.00 beta=90.00 gamma=90.00
Sites, in units of the cell vectors:
Mg1 0.000 0.000 0.105
Mg2 0.000 0.000 0.315
Mg3 0.000 0.000 0.685
Mg4 0.000 0.000 0.895
Sc1 0.500 0.500 0.000
Sc2 0.500 0.500 0.211
Sc3 0.500 0.500 0.424
Sc4 0.500 0.500 0.576
Sc5 0.500 0.500 0.789
Rh1 0.000 0.000 0.500

(4)
Entry from the Alexandria database: crystalline OsSeN2Cl at its relaxed geometry (PBE).

Values from the calculation:
**Polymorph energy (0 for the lowest one)**: 0.00 eV/f.u.
**Raw formation energy**: 3.3 eV/f.u.

Unit cell a=3.794 b=3.794 c=5.515 alpha=90.00 beta=90.00 gamma=90.00
Sites, in units of the cell vectors:
Os1 0.000 0.000 0.000
Se1 0.000 0.000 0.500
N1 0.000 0.500 0.000
N2 0.500 0.000 0.000
Cl1 0.500 0.500 0.500

(5)
Entry from the Alexandria database: crystalline Li3CuPt at its relaxed geometry (PBE).

Values from the calculation:
**Polymorph energy (0 for the lowest one)**: 0.00 eV/f.u.

Unit cell a=4.931 b=4.976 c=6.643 alpha=80.69 beta=69.69 gamma=62.60
Sites, in units of the cell vectors:
Li1 0.000 0.000 0.000
Li2 0.009 0.391 0.209
Li3 0.436 0.356 0.404
Li4 0.500 0.500 0.000
Li5 0.564 0.644 0.596
Li6 0.991 0.609 0.791
Cu1 0.065 0.126 0.610
Cu2 0.935 0.874 0.390
Pt1 0.499 0.887 0.216
Pt2 0.501 0.113 0.784

(6)
Entry from the Alexandria database: crystalline KMgSb2Te at its relaxed geometry (PBE).

Values from the calculation:
**Polymorph energy (0 for the lowest one)**: 5.00 eV/f.u.
**Raw formation energy**: 4.9 eV/f.u.

Unit cell a=5.844 b=5.844 c=5.910 alpha=90.00 beta=90.00 gamma=90.00
Sites, in units of the cell vectors:
K1 0.000 0.000 0.000
Mg1 0.500 0.500 0.500
Sb1 0.000 0.500 0.000
Sb2 0.500 0.000 0.000
Te1 0.000 0.000 0.500

(7)
Entry from the Alexandria database: crystalline LiAlPb2 at its relaxed geometry (PBE).

Unit cell a=6.367 b=6.367 c=6.367 alpha=42.38 beta=42.38 gamma=42.38
Sites, in units of the cell vectors:
Li1 0.000 0.000 0.000
Al1 0.177 0.177 0.177
Pb1 0.580 0.580 0.580
Pb2 0.766 0.766 0.766

(8)
Entry from the Alexandria database: crystalline Ni4Sb at its relaxed geometry (PBE).

Values from the calculation:
**Polymorph energy (0 for the lowest one)**: 6.24 eV/f.u.
**Raw formation energy**: 6.0 eV/f.u.

Unit cell a=4.589 b=4.589 c=4.589 alpha=90.00 beta=90.00 gamma=90.00
Sites, in units of the cell vectors:
Ni1 0.000 0.000 0.000
Ni2 0.000 0.500 0.500
Ni3 0.500 0.000 0.500
Ni4 0.500 0.500 0.000
Sb1 0.500 0.500 0.500

(9)
Entry from the Alexandria database: crystalline Y2Be2Pb at its relaxed geometry (PBE).

Values from the calculation:
**Polymorph energy (0 for the lowest one)**: 2.53 eV/f.u.

Unit cell a=8.168 b=8.168 c=3.468 alpha=90.00 beta=90.00 gamma=90.00
Sites, in units of the cell vectors:
Y1 0.157 0.343 0.000
Y2 0.343 0.843 0.000
Y3 0.657 0.157 0.000
Y4 0.843 0.657 0.000
Be1 0.135 0.635 0.500
Be2 0.365 0.135 0.500
Be3 0.635 0.865 0.500
Be4 0.865 0.365 0.500
Pb1 0.000 0.000 0.000
Pb2 0.500 0.500 0.000

(10)
Entry from the Alexandria database: crystalline CsSr2HgI at its relaxed geometry (PBE).

Values from the calculation:
**Raw formation energy**: 0.7 eV/f.u.

Unit cell a=8.653 b=8.653 c=7.038 alpha=90.00 beta=90.00 gamma=90.00
Sites, in units of the cell vectors:
Cs1 0.000 0.000 0.000
Sr1 0.000 0.500 0.000
Sr2 0.500 0.000 0.000
Hg1 0.500 0.500 0.500
I1 0.000 0.000 0.500

(11)
Entry from the Alexandria database: crystalline VCuTe2W at its relaxed geometry (PBE).

Values from the calculation:
**Raw formation energy**: 6.8 eV/f.u.

Unit cell a=5.130 b=5.130 c=4.539 alpha=90.00 beta=90.00 gamma=90.00
Sites, in units of the cell vectors:
V1 0.000 0.000 0.000
Cu1 0.000 0.000 0.500
Te1 0.000 0.500 0.000
Te2 0.500 0.000 0.000
W1 0.500 0.500 0.500

(12)
Entry from the Alexandria database: crystalline Na3As4Pd4 at its relaxed geometry (PBE).

Values from the calculation:
**Polymorph energy (0 for the lowest one)**: 0.00 eV/f.u.

Unit cell a=4.323 b=4.364 c=12.467 alpha=100.02 beta=99.58 gamma=90.09
Sites, in units of the cell vectors:
Na1 0.000 0.000 0.000
Na2 0.355 0.857 0.712
Na3 0.645 0.143 0.288
As1 0.195 0.696 0.392
As2 0.451 0.452 0.901
As3 0.549 0.548 0.099
As4 0.805 0.304 0.608
Pd1 0.093 0.595 0.192
Pd2 0.251 0.249 0.497
Pd3 0.749 0.751 0.503
Pd4 0.907 0.405 0.808

(13)
Entry from the Alexandria database: crystalline Cs2LiBeF6 at its relaxed geometry (PBE).

Values from the calculation:
**Raw formation energy**: -25.3 eV/f.u.

Unit cell a=6.336 b=6.336 c=6.336 alpha=125.41 beta=125.41 gamma=80.86
Sites, in units of the cell vectors:
Cs1 0.250 0.750 0.500
Cs2 0.750 0.250 0.500
Li1 0.000 0.000 0.000
Be1 0.500 0.500 0.000
F1 0.240 0.240 0.480
F2 0.240 0.760 0.000
F3 0.343 0.343 0.000
F4 0.657 0.657 0.000
F5 0.760 0.240 0.000
F6 0.760 0.760 0.520

(14)
Entry from the Alexandria database: crystalline Li2Cd4CuPd at its relaxed geometry (PBE).

Unit cell a=4.650 b=4.615 c=6.460 alpha=90.00 beta=90.23 gamma=90.00
Sites, in units of the cell vectors:
Li1 0.000 0.000 0.000
Li2 0.500 0.500 0.500
Cd1 0.000 0.500 0.244
Cd2 0.000 0.500 0.756
Cd3 0.500 0.000 0.245
Cd4 0.500 0.000 0.755
Cu1 0.500 0.500 0.000
Pd1 0.000 0.000 0.500

(15)
Entry from the Alexandria database: crystalline La5CdPb4 at its relaxed geometry (PBE).

Unit cell a=3.669 b=3.669 c=23.240 alpha=90.00 beta=90.00 gamma=90.00
Sites, in units of the cell vectors:
La1 0.000 0.000 0.000
La2 0.000 0.000 0.202
La3 0.000 0.000 0.403
La4 0.000 0.000 0.597
La5 0.000 0.000 0.798
Cd1 0.500 0.500 0.500
Pb1 0.500 0.500 0.101
Pb2 0.500 0.500 0.303
Pb3 0.500 0.500 0.697
Pb4 0.500 0.500 0.899

(16)
Entry from the Alexandria database: crystalline Cd3CoPb at its relaxed geometry (PBE).

Unit cell a=5.002 b=5.002 c=5.002 alpha=90.00 beta=90.00 gamma=90.00
Sites, in units of the cell vectors:
Cd1 0.000 0.000 0.500
Cd2 0.000 0.500 0.000
Cd3 0.500 0.000 0.000
Co1 0.000 0.000 0.000
Pb1 0.500 0.500 0.500

(17)
Entry from the Alexandria database: crystalline Ba2CdGe at its relaxed geometry (PBE).

Unit cell a=7.016 b=4.916 c=9.275 alpha=90.00 beta=110.28 gamma=90.00
Sites, in units of the cell vectors:
Ba1 0.209 0.250 0.431
Ba2 0.229 0.250 0.926
Ba3 0.771 0.750 0.074
Ba4 0.791 0.750 0.569
Cd1 0.364 0.750 0.222
Cd2 0.636 0.250 0.778
Ge1 0.363 0.750 0.711
Ge2 0.637 0.250 0.289

Taking the records one at a time from the top gives final energy values of -6.40 -2.28 -4.76 -5.98 -3.47 -1.83 -3.20 -4.25 -4.50 -1.08 -5.13 -4.36 -4.39 -2.37 -4.57 -2.35 -2.77 eV per atom.
Taking the records one at a time from the top gives DOS(E_F) values of 0.447 0.500 0.969 0.430 0.258 1.100 0.597 2.670 0.749 0.000 0.813 0.400 1.145 0.377 0.830 0.556 0.225 states/eV per atom.